# PBE-GGA ZrCdTcPd2, relaxed
data_ZrCdTcPd2
_chemical_formula_sum 'Zr1 Cd1 Tc1 Pd2'
_cell_length_a 4.743
_cell_length_b 4.743
_cell_length_c 5.028
_cell_angle_alpha 90.00
_cell_angle_beta 90.00
_cell_angle_gamma 90.00
_symmetry_space_group_name_H-M 'P 4/m m m'
_symmetry_Int_Tables_number 123
_symmetry_space_group_name_Hall '-P 4 2'
loop_
_atom_site_label
_atom_site_type_symbol
_atom_site_fract_x
_atom_site_fract_y
_atom_site_fract_z
_atom_site_occupancy
Zr1 Zr 0.000 0.000 0.000 1
Cd1 Cd 0.500 0.500 0.000 1
Tc1 Tc 0.500 0.500 0.500 1
Pd1 Pd 0.000 0.500 0.500 1
# * polymorph energy (0 for the lowest one): 0.0 meV/atom
# * volume: 113.1 Å³ per cell
# * M_tot: 0.00 μB/cell
# * uncorrected energy: -25.35 eV per cell